First-principles (GGA-PBE) data for a relaxed Ba2SiAg crystal, as listed in Alexandria.

The space group is Cmm2 (No. 35) and the conventional cell measures 5.551, 5.563 and 9.352 Å, with angles of 90.00, 90.00 and 90.00 degrees. Symmetry generates all atoms from Ba at (0.000, 0.000, 0.000), Ba at (0.000, 0.500, 0.428), Si at (0.000, 0.500, 0.767) and Ag at (0.000, 0.000, 0.659).

Its density of states at the Fermi level is 5.9 states/eV/cell. Its uncorrected formation energy is 0.0788 eV per atom.